A plane-wave DFT calculation with PBE was carried out for a relaxed Pr2TmMg3Ir2Pt crystal.

**Total magnetization**: 0.00 μB/cell
**E**: -48.97 eV per cell
**Crystal system**: orthorhombic

a b c (Å): 4.096 7.420 7.420
angles (deg): 119.77 90.00 90.00
Sites, in units of the cell vectors:
1 Pr 0.000 0.209 0.791
2 Pr 0.000 0.791 0.209
3 Tm 0.000 0.617 0.617
4 Mg 0.500 0.212 0.453
5 Mg 0.500 0.453 0.212
6 Mg 0.500 0.962 0.962
7 Ir 0.500 0.546 0.863
8 Ir 0.500 0.863 0.546
9 Pt 0.000 0.217 0.217